# TiHgIrRu

TiHgIrRu after structural relaxation (GGA-PBE, Alexandria).

Output
E_form = -5 kJ/mol of formula units
energy = -26.383 eV/cell
space-group type = No. 6
DOS at the Fermi energy = 3.99 states/eV/cell

Lattice parameters (Å, degrees): 4.7534 2.9224 4.9341 90.00 110.71 90.00
Fractional coordinates of all 4 atoms:
Ti  0.0000  0.0000  0.0000
Hg  0.9627  0.5000  0.4872
Ir  0.4887  0.5000  0.9613
Ru  0.4529  0.0000  0.4564

=====

# TiHgIrRu

TiHgIrRu after structural relaxation (GGA-PBE, Alexandria).

Output
E_form = -74 kJ/mol of formula units
energy = -27.104 eV/cell
space-group type = No. 99
DOS at the Fermi energy = 3.99 states/eV/cell

Lattice parameters (Å, degrees): 3.0934 3.0934 6.7915 90.00 90.00 90.00
Fractional coordinates of all 4 atoms:
Ti  0.0000  0.0000  0.0000
Hg  0.0000  0.0000  0.4898
Ir  0.5000  0.5000  0.7801
Ru  0.5000  0.5000  0.2094

=====

# HgIrS3

HgIrS3 after structural relaxation (GGA-PBE, Alexandria).

Output
formation energy (no corrections) = 0.506 eV per atom
energy = -19.016 eV/cell
space-group type = No. 221
DOS at the Fermi energy = 6.79 states/eV/cell

Lattice parameters (Å, degrees): 4.7039 4.7039 4.7039 90.00 90.00 90.00
Fractional coordinates of all 5 atoms:
Hg  0.0000  0.0000  0.0000
Ir  0.5000  0.5000  0.5000
S  0.0000  0.5000  0.5000
S  0.5000  0.0000  0.5000
S  0.5000  0.5000  0.0000

=====

# HgIrS2

HgIrS2 after structural relaxation (GGA-PBE, Alexandria).

Output
formation energy (no corrections) = -0.204 eV per atom
energy = -18.235 eV/cell
space-group type = No. 166
DOS at the Fermi energy = 2.98 states/eV/cell

Lattice parameters (Å, degrees): 8.3509 8.3509 8.3509 24.86 24.86 24.86
Fractional coordinates of all 4 atoms:
Hg  0.0000  0.0000  0.0000
Ir  0.5000  0.5000  0.5000
S  0.1187  0.1187  0.1187
S  0.8813  0.8813  0.8813

=====

# HgIr2S

HgIr2S after structural relaxation (GGA-PBE, Alexandria).

Output
formation energy (no corrections) = 0.906 eV per atom
energy = -18.529 eV/cell
space-group type = No. 225
DOS at the Fermi energy = 5.48 states/eV/cell

Lattice parameters (Å, degrees): 4.5140 4.5140 4.5140 60.00 60.00 60.00
Fractional coordinates of all 4 atoms:
Hg  0.0000  0.0000  0.0000
Ir  0.2500  0.2500  0.2500
Ir  0.7500  0.7500  0.7500
S  0.5000  0.5000  0.5000

=====

# HgIr2S

HgIr2S after structural relaxation (GGA-PBE, Alexandria).

Output
formation energy (no corrections) = 0.462 eV per atom
energy = -40.609 eV/cell
space-group type = No. 122
DOS at the Fermi energy = 1.91 states/eV/cell

Lattice parameters (Å, degrees): 5.7106 5.7106 5.7106 106.35 106.35 115.92
Fractional coordinates of all 8 atoms:
Hg  0.0000  0.0000  0.0000
Hg  0.7500  0.2500  0.5000
Ir  0.2056  0.6250  0.0806
Ir  0.3750  0.4556  0.5806
Ir  0.5444  0.1250  0.9194
Ir  0.8750  0.7944  0.4194
S  0.2500  0.7500  0.5000
S  0.5000  0.5000  0.0000